1:
An optimized crystal structure of LiOsC2, computed with PBE-GGA.

Output
* magnetic moment: 0.0 μB/cell

Structure (CIF):
```
data_LiOsC2
_cell_length_a 5.177
_cell_length_b 5.177
_cell_length_c 5.177
_cell_angle_alpha 90.00
_cell_angle_beta 90.00
_cell_angle_gamma 90.00
_symmetry_space_group_name_H-M 'F m -3 m'
_symmetry_Int_Tables_number 225
_symmetry_space_group_name_Hall '-F 4 2 3'
loop_
_atom_site_label
_atom_site_fract_x
_atom_site_fract_y
_atom_site_fract_z
Li1 0.000 0.000 0.000
Os1 0.000 0.000 0.500
C1 0.250 0.250 0.250
```

2:
An optimized crystal structure of LiOsC2, computed with PBE-GGA.

Output
* magnetic moment: 0.0 μB/cell

Structure (CIF):
```
data_LiOsC2
_cell_length_a 4.914
_cell_length_b 4.914
_cell_length_c 9.367
_cell_angle_alpha 90.00
_cell_angle_beta 90.00
_cell_angle_gamma 90.00
_symmetry_space_group_name_H-M 'I -4 2 d'
_symmetry_Int_Tables_number 122
_symmetry_space_group_name_Hall 'I -4 2bw'
loop_
_atom_site_label
_atom_site_fract_x
_atom_site_fract_y
_atom_site_fract_z
Li1 0.000 0.000 0.000
Os1 0.000 0.000 0.500
C1 0.171 0.250 0.625
```

Stability order, top to bottom: 2, 1

1:
An optimized crystal structure of Li2PC, computed with PBE-GGA.

Output
* magnetic moment: 0.1 μB/cell

Structure (CIF):
```
data_Li2PC
_cell_length_a 3.981
_cell_length_b 3.854
_cell_length_c 7.764
_cell_angle_alpha 90.00
_cell_angle_beta 97.54
_cell_angle_gamma 90.00
_symmetry_space_group_name_H-M 'P 1 m 1'
_symmetry_Int_Tables_number 6
_symmetry_space_group_name_Hall 'P -2y'
loop_
_atom_site_label
_atom_site_fract_x
_atom_site_fract_y
_atom_site_fract_z
Li1 0.000 0.000 0.000
Li2 0.011 0.500 0.457
Li3 0.453 0.500 0.258
Li4 0.523 0.500 0.760
P1 0.052 0.000 0.669
P2 0.543 0.000 0.511
C1 0.740 0.500 0.026
C2 0.938 0.500 0.167
```

2:
An optimized crystal structure of Li2PC, computed with PBE-GGA.

Output
* magnetic moment: 0.0 μB/cell

Structure (CIF):
```
data_Li2PC
_cell_length_a 5.472
_cell_length_b 6.709
_cell_length_c 6.380
_cell_angle_alpha 90.00
_cell_angle_beta 92.40
_cell_angle_gamma 90.00
_symmetry_space_group_name_H-M 'C 1 2 1'
_symmetry_Int_Tables_number 5
_symmetry_space_group_name_Hall 'C 2y'
loop_
_atom_site_label
_atom_site_fract_x
_atom_site_fract_y
_atom_site_fract_z
Li1 0.000 0.000 0.000
Li2 0.000 0.423 0.000
Li3 0.200 0.568 0.626
P1 0.205 0.720 0.214
C1 0.071 0.232 0.581
```

Stability order, top to bottom: 2, 1

1:
An optimized crystal structure of Li2P2C, computed with PBE-GGA.

Output
* magnetic moment: 0.0 μB/cell

Structure (CIF):
```
data_Li2P2C
_cell_length_a 7.287
_cell_length_b 7.287
_cell_length_c 2.433
_cell_angle_alpha 90.00
_cell_angle_beta 90.00
_cell_angle_gamma 90.00
_symmetry_space_group_name_H-M 'P 4/m b m'
_symmetry_Int_Tables_number 127
_symmetry_space_group_name_Hall '-P 4 2ab'
loop_
_atom_site_label
_atom_site_fract_x
_atom_site_fract_y
_atom_site_fract_z
Li1 0.116 0.384 0.000
P1 0.186 0.686 0.500
C1 0.000 0.000 0.000
```

2:
An optimized crystal structure of Li2P2C, computed with PBE-GGA.

Output
* magnetic moment: 2.0 μB/cell

Structure (CIF):
```
data_Li2P2C
_cell_length_a 3.180
_cell_length_b 3.180
_cell_length_c 14.278
_cell_angle_alpha 90.00
_cell_angle_beta 90.00
_cell_angle_gamma 90.00
_symmetry_space_group_name_H-M 'I 4/m m m'
_symmetry_Int_Tables_number 139
_symmetry_space_group_name_Hall '-I 4 2'
loop_
_atom_site_label
_atom_site_fract_x
_atom_site_fract_y
_atom_site_fract_z
Li1 0.000 0.000 0.085
P1 0.000 0.500 0.250
C1 0.000 0.000 0.500
```

Stability order, top to bottom: 2, 1

1:
An optimized crystal structure of LiP2CS, computed with PBE-GGA.

Output
* magnetic moment: 0.0 μB/cell

Structure (CIF):
```
data_LiP2CS
_cell_length_a 4.204
_cell_length_b 4.204
_cell_length_c 4.330
_cell_angle_alpha 90.00
_cell_angle_beta 90.00
_cell_angle_gamma 90.00
_symmetry_space_group_name_H-M 'P 4/m m m'
_symmetry_Int_Tables_number 123
_symmetry_space_group_name_Hall '-P 4 2'
loop_
_atom_site_label
_atom_site_fract_x
_atom_site_fract_y
_atom_site_fract_z
Li1 0.000 0.000 0.000
P1 0.000 0.500 0.000
C1 0.500 0.500 0.500
S1 0.000 0.000 0.500
```

2:
An optimized crystal structure of LiP2CS, computed with PBE-GGA.

Output
* magnetic moment: 0.0 μB/cell

Structure (CIF):
```
data_LiP2CS
_cell_length_a 3.872
_cell_length_b 3.872
_cell_length_c 5.040
_cell_angle_alpha 90.00
_cell_angle_beta 90.00
_cell_angle_gamma 90.00
_symmetry_space_group_name_H-M 'P 4/m m m'
_symmetry_Int_Tables_number 123
_symmetry_space_group_name_Hall '-P 4 2'
loop_
_atom_site_label
_atom_site_fract_x
_atom_site_fract_y
_atom_site_fract_z
Li1 0.000 0.000 0.000
P1 0.000 0.500 0.500
C1 0.500 0.500 0.500
S1 0.500 0.500 0.000
```

Stability order, top to bottom: 2, 1

1:
An optimized crystal structure of LiPCS2, computed with PBE-GGA.

Output
* magnetic moment: 0.1 μB/cell

Structure (CIF):
```
data_LiPCS2
_cell_length_a 4.345
_cell_length_b 4.345
_cell_length_c 4.166
_cell_angle_alpha 90.00
_cell_angle_beta 90.00
_cell_angle_gamma 90.00
_symmetry_space_group_name_H-M 'P 4/m m m'
_symmetry_Int_Tables_number 123
_symmetry_space_group_name_Hall '-P 4 2'
loop_
_atom_site_label
_atom_site_fract_x
_atom_site_fract_y
_atom_site_fract_z
Li1 0.000 0.000 0.000
P1 0.000 0.000 0.500
C1 0.500 0.500 0.500
S1 0.000 0.500 0.000
```

2:
An optimized crystal structure of LiPCS2, computed with PBE-GGA.

Output
* magnetic moment: 0.0 μB/cell

Structure (CIF):
```
data_LiPCS2
_cell_length_a 4.428
_cell_length_b 4.428
_cell_length_c 3.741
_cell_angle_alpha 90.00
_cell_angle_beta 90.00
_cell_angle_gamma 90.00
_symmetry_space_group_name_H-M 'P 4/m m m'
_symmetry_Int_Tables_number 123
_symmetry_space_group_name_Hall '-P 4 2'
loop_
_atom_site_label
_atom_site_fract_x
_atom_site_fract_y
_atom_site_fract_z
Li1 0.000 0.000 0.000
P1 0.500 0.500 0.000
C1 0.500 0.500 0.500
S1 0.000 0.500 0.500
```

Stability order, top to bottom: 2, 1

1:
An optimized crystal structure of LiTlPC, computed with PBE-GGA.

Output
* magnetic moment: 0.0 μB/cell

Structure (CIF):
```
data_LiTlPC
_cell_length_a 3.545
_cell_length_b 3.455
_cell_length_c 6.612
_cell_angle_alpha 90.00
_cell_angle_beta 105.52
_cell_angle_gamma 90.00
_symmetry_space_group_name_H-M 'P 1 m 1'
_symmetry_Int_Tables_number 6
_symmetry_space_group_name_Hall 'P -2y'
loop_
_atom_site_label
_atom_site_fract_x
_atom_site_fract_y
_atom_site_fract_z
Li1 0.000 0.000 0.000
Tl1 0.695 0.000 0.394
P1 0.410 0.500 0.818
C1 0.537 0.500 0.075
```

2:
An optimized crystal structure of LiTlPC, computed with PBE-GGA.

Output
* magnetic moment: 0.0 μB/cell

Structure (CIF):
```
data_LiTlPC
_cell_length_a 3.0630
_cell_length_b 3.0630
_cell_length_c 7.5133
_cell_angle_alpha 90.00
_cell_angle_beta 90.00
_cell_angle_gamma 120.00
_symmetry_space_group_name_H-M 'P 3 m 1'
_symmetry_Int_Tables_number 156
_symmetry_space_group_name_Hall 'P 3 -2"'
loop_
_atom_site_label
_atom_site_fract_x
_atom_site_fract_y
_atom_site_fract_z
Li1 0.0000 0.0000 0.0000
Tl1 0.3333 0.6667 0.3226
P1 0.3333 0.6667 0.6978
C1 0.6667 0.3333 0.7960
```

Stability order, top to bottom: 2, 1

1:
An optimized crystal structure of LiPaC, computed with PBE-GGA.

Output
* magnetic moment: 0.0 μB/cell

Structure (CIF):
```
data_LiPaC
_cell_length_a 3.453
_cell_length_b 3.453
_cell_length_c 4.296
_cell_angle_alpha 90.00
_cell_angle_beta 90.00
_cell_angle_gamma 90.00
_symmetry_space_group_name_H-M 'P 4/m m m'
_symmetry_Int_Tables_number 123
_symmetry_space_group_name_Hall '-P 4 2'
loop_
_atom_site_label
_atom_site_fract_x
_atom_site_fract_y
_atom_site_fract_z
Li1 0.000 0.000 0.000
Pa1 0.500 0.500 0.500
C1 0.000 0.000 0.500
```

2:
An optimized crystal structure of LiPaC, computed with PBE-GGA.

Output
* magnetic moment: 0.0 μB/cell

Structure (CIF):
```
data_LiPaC
_cell_length_a 3.578
_cell_length_b 3.578
_cell_length_c 6.771
_cell_angle_alpha 90.00
_cell_angle_beta 90.00
_cell_angle_gamma 90.00
_symmetry_space_group_name_H-M 'I 4 m m'
_symmetry_Int_Tables_number 107
_symmetry_space_group_name_Hall 'I 4 -2'
loop_
_atom_site_label
_atom_site_fract_x
_atom_site_fract_y
_atom_site_fract_z
Li1 0.000 0.000 0.000
Pa1 0.000 0.000 0.354
C1 0.000 0.000 0.703
```

Stability order, top to bottom: 1, 2

1:
An optimized crystal structure of LiPbC3, computed with PBE-GGA.

Output
* magnetic moment: 0.0 μB/cell

Structure (CIF):
```
data_LiPbC3
_cell_length_a 3.965
_cell_length_b 3.965
_cell_length_c 3.965
_cell_angle_alpha 90.00
_cell_angle_beta 90.00
_cell_angle_gamma 90.00
_symmetry_space_group_name_H-M 'P m -3 m'
_symmetry_Int_Tables_number 221
_symmetry_space_group_name_Hall '-P 4 2 3'
loop_
_atom_site_label
_atom_site_fract_x
_atom_site_fract_y
_atom_site_fract_z
Li1 0.000 0.000 0.000
Pb1 0.500 0.500 0.500
C1 0.000 0.000 0.500
```

2:
An optimized crystal structure of LiPbC3, computed with PBE-GGA.

Output
* magnetic moment: 1.2 μB/cell

Structure (CIF):
```
data_LiPbC3
_cell_length_a 4.550
_cell_length_b 4.550
_cell_length_c 4.550
_cell_angle_alpha 90.00
_cell_angle_beta 90.00
_cell_angle_gamma 90.00
_symmetry_space_group_name_H-M 'P m -3 m'
_symmetry_Int_Tables_number 221
_symmetry_space_group_name_Hall '-P 4 2 3'
loop_
_atom_site_label
_atom_site_fract_x
_atom_site_fract_y
_atom_site_fract_z
Li1 0.000 0.000 0.000
Pb1 0.500 0.500 0.500
C1 0.000 0.500 0.500
```

Stability order, top to bottom: 1, 2

1:
An optimized crystal structure of LiPmC, computed with PBE-GGA.

Output
* magnetic moment: 0.0 μB/cell

Structure (CIF):
```
data_LiPmC
_cell_length_a 3.528
_cell_length_b 20.844
_cell_length_c 3.021
_cell_angle_alpha 90.00
_cell_angle_beta 90.00
_cell_angle_gamma 90.00
_symmetry_space_group_name_H-M 'C m c m'
_symmetry_Int_Tables_number 63
_symmetry_space_group_name_Hall '-C 2c 2'
loop_
_atom_site_label
_atom_site_fract_x
_atom_site_fract_y
_atom_site_fract_z
Li1 0.000 0.208 0.250
Pm1 0.000 0.425 0.250
C1 0.000 0.018 0.250
```

2:
An optimized crystal structure of LiPmC, computed with PBE-GGA.

Output
* magnetic moment: 0.0 μB/cell

Structure (CIF):
```
data_LiPmC
_cell_length_a 3.616
_cell_length_b 4.319
_cell_length_c 9.165
_cell_angle_alpha 97.46
_cell_angle_beta 90.09
_cell_angle_gamma 114.56
_symmetry_space_group_name_H-M 'P -1'
_symmetry_Int_Tables_number 2
_symmetry_space_group_name_Hall '-P 1'
loop_
_atom_site_label
_atom_site_fract_x
_atom_site_fract_y
_atom_site_fract_z
Li1 0.135 0.270 0.431
Pm1 0.378 0.754 0.153
C1 0.081 0.161 0.038
```

3:
An optimized crystal structure of LiPmC, computed with PBE-GGA.

Output
* magnetic moment: 0.0 μB/cell

Structure (CIF):
```
data_LiPmC
_cell_length_a 5.863
_cell_length_b 5.863
_cell_length_c 5.863
_cell_angle_alpha 90.00
_cell_angle_beta 90.00
_cell_angle_gamma 90.00
_symmetry_space_group_name_H-M 'F -4 3 m'
_symmetry_Int_Tables_number 216
_symmetry_space_group_name_Hall 'F -4 2 3'
loop_
_atom_site_label
_atom_site_fract_x
_atom_site_fract_y
_atom_site_fract_z
Li1 0.000 0.000 0.000
Pm1 0.000 0.000 0.500
C1 0.250 0.250 0.750
```

Stability order, top to bottom: 2, 3, 1

1:
An optimized crystal structure of LiPt3C, computed with PBE-GGA.

Output
* magnetic moment: 0.0 μB/cell

Structure (CIF):
```
data_LiPt3C
_cell_length_a 4.207
_cell_length_b 4.207
_cell_length_c 4.207
_cell_angle_alpha 90.00
_cell_angle_beta 90.00
_cell_angle_gamma 90.00
_symmetry_space_group_name_H-M 'P m -3 m'
_symmetry_Int_Tables_number 221
_symmetry_space_group_name_Hall '-P 4 2 3'
loop_
_atom_site_label
_atom_site_fract_x
_atom_site_fract_y
_atom_site_fract_z
Li1 0.000 0.000 0.000
Pt1 0.000 0.000 0.500
C1 0.500 0.500 0.500
```

2:
An optimized crystal structure of LiPt3C, computed with PBE-GGA.

Output
* magnetic moment: 0.0 μB/cell

Structure (CIF):
```
data_LiPt3C
_cell_length_a 4.152
_cell_length_b 4.152
_cell_length_c 4.152
_cell_angle_alpha 90.00
_cell_angle_beta 90.00
_cell_angle_gamma 90.00
_symmetry_space_group_name_H-M 'P m -3 m'
_symmetry_Int_Tables_number 221
_symmetry_space_group_name_Hall '-P 4 2 3'
loop_
_atom_site_label
_atom_site_fract_x
_atom_site_fract_y
_atom_site_fract_z
Li1 0.000 0.000 0.000
Pt1 0.000 0.500 0.500
C1 0.500 0.500 0.500
```

Stability order, top to bottom: 2, 1

1:
An optimized crystal structure of LiPtC3, computed with PBE-GGA.

Output
* magnetic moment: 0.0 μB/cell

Structure (CIF):
```
data_LiPtC3
_cell_length_a 3.671
_cell_length_b 3.671
_cell_length_c 3.671
_cell_angle_alpha 90.00
_cell_angle_beta 90.00
_cell_angle_gamma 90.00
_symmetry_space_group_name_H-M 'P m -3 m'
_symmetry_Int_Tables_number 221
_symmetry_space_group_name_Hall '-P 4 2 3'
loop_
_atom_site_label
_atom_site_fract_x
_atom_site_fract_y
_atom_site_fract_z
Li1 0.000 0.000 0.000
Pt1 0.500 0.500 0.500
C1 0.000 0.000 0.500
```

2:
An optimized crystal structure of LiPtC3, computed with PBE-GGA.

Output
* magnetic moment: 1.0 μB/cell

Structure (CIF):
```
data_LiPtC3
_cell_length_a 4.057
_cell_length_b 4.057
_cell_length_c 4.057
_cell_angle_alpha 90.00
_cell_angle_beta 90.00
_cell_angle_gamma 90.00
_symmetry_space_group_name_H-M 'P m -3 m'
_symmetry_Int_Tables_number 221
_symmetry_space_group_name_Hall '-P 4 2 3'
loop_
_atom_site_label
_atom_site_fract_x
_atom_site_fract_y
_atom_site_fract_z
Li1 0.000 0.000 0.000
Pt1 0.500 0.500 0.500
C1 0.000 0.500 0.500
```

Stability order, top to bottom: 2, 1

1:
An optimized crystal structure of RbLiC3, computed with PBE-GGA.

Output
* magnetic moment: 0.0 μB/cell

Structure (CIF):
```
data_RbLiC3
_cell_length_a 4.180
_cell_length_b 4.180
_cell_length_c 4.180
_cell_angle_alpha 90.00
_cell_angle_beta 90.00
_cell_angle_gamma 90.00
_symmetry_space_group_name_H-M 'P m -3 m'
_symmetry_Int_Tables_number 221
_symmetry_space_group_name_Hall '-P 4 2 3'
loop_
_atom_site_label
_atom_site_fract_x
_atom_site_fract_y
_atom_site_fract_z
Rb1 0.000 0.000 0.000
Li1 0.500 0.500 0.500
C1 0.000 0.500 0.500
```

2:
An optimized crystal structure of RbLiC3, computed with PBE-GGA.

Output
* magnetic moment: 8.0 μB/cell

Structure (CIF):
```
data_RbLiC3
_cell_length_a 5.724
_cell_length_b 5.724
_cell_length_c 5.724
_cell_angle_alpha 90.00
_cell_angle_beta 90.00
_cell_angle_gamma 90.00
_symmetry_space_group_name_H-M 'P m -3 m'
_symmetry_Int_Tables_number 221
_symmetry_space_group_name_Hall '-P 4 2 3'
loop_
_atom_site_label
_atom_site_fract_x
_atom_site_fract_y
_atom_site_fract_z
Rb1 0.000 0.000 0.000
Li1 0.500 0.500 0.500
C1 0.000 0.000 0.500
```

Stability order, top to bottom: 1, 2